Here is ErBi2Pb after structural relaxation from the Alexandria database. Energies are from PBE.

As for the magnetization: 0.0 μB/cell. As for the energy of formation: -1.0 eV/f.u. For the final energy, the calculation gives -4.25 eV per atom. The calculation puts the distance to the lowest polymorph of the same formula at 74 meV/atom.

It has space group R3m (No. 160, hexagonal axes), with a = 4.7159 Å, b = 4.7159 Å, c = 21.5925 Å, α = 90.00°, β = 90.00° and γ = 120.00°. The distinct sites, in fractional coordinates, are Er at (0.0000, 0.0000, 0.0000), Bi at (0.0000, 0.0000, 0.4074), Bi at (0.0000, 0.0000, 0.5914) and Pb at (0.0000, 0.0000, 0.8296).